[1]
# Zr2TcPb, optimized geometry, DFT PBE-GGA
# ΔH_f (0 K), eV/atom: -0.01
# Excess energy over the best structure of this formula in the dataset, eV per atom: 0.2379
# Crystal system: cubic
# M_tot, μB per atom: 0.0000
data_Zr2TcPb
_chemical_formula_sum 'Zr8 Tc4 Pb4'
_cell_length_a 6.913
_cell_length_b 6.913
_cell_length_c 6.913
_cell_angle_alpha 90.00
_cell_angle_beta 90.00
_cell_angle_gamma 90.00
_space_group_name_H-M_alt 'F m -3 m'
_space_group_IT_number 225
_space_group_name_Hall '-F 4 2 3'
loop_
_atom_site_label
_atom_site_type_symbol
_atom_site_fract_x
_atom_site_fract_y
_atom_site_fract_z
Zr1 Zr 0.250 0.250 0.250
Tc1 Tc 0.000 0.000 0.000
Pb1 Pb 0.000 0.000 0.500

---

[2]
# ZrTc2Pb, optimized geometry, DFT PBE-GGA
# ΔH_f (0 K), eV/atom: 0.86
# Excess energy over the best structure of this formula in the dataset, eV per atom: 0.7746
# Crystal system: tetragonal
# M_tot, μB per atom: 0.4440
data_ZrTc2Pb
_chemical_formula_sum 'Zr4 Tc8 Pb4'
_cell_length_a 7.460
_cell_length_b 7.460
_cell_length_c 5.855
_cell_angle_alpha 90.00
_cell_angle_beta 90.00
_cell_angle_gamma 90.00
_space_group_name_H-M_alt 'I -4 2 d'
_space_group_IT_number 122
_space_group_name_Hall 'I -4 2bw'
loop_
_atom_site_label
_atom_site_type_symbol
_atom_site_fract_x
_atom_site_fract_y
_atom_site_fract_z
Zr1 Zr 0.000 0.000 0.000
Tc1 Tc 0.234 0.250 0.125
Pb1 Pb 0.000 0.000 0.500

---

[3]
# ZrTc2Pb, optimized geometry, DFT PBE-GGA
# ΔH_f (0 K), eV/atom: 0.39
# Excess energy over the best structure of this formula in the dataset, eV per atom: 0.2955
# Crystal system: orthorhombic
# M_tot, μB per atom: 0.0001
data_ZrTc2Pb
_chemical_formula_sum 'Zr2 Tc4 Pb2'
_cell_length_a 3.372
_cell_length_b 5.086
_cell_length_c 8.882
_cell_angle_alpha 90.00
_cell_angle_beta 90.00
_cell_angle_gamma 90.00
_space_group_name_H-M_alt 'C m m m'
_space_group_IT_number 65
_space_group_name_Hall '-C 2 2'
loop_
_atom_site_label
_atom_site_type_symbol
_atom_site_fract_x
_atom_site_fract_y
_atom_site_fract_z
Zr1 Zr 0.000 0.000 0.000
Tc1 Tc 0.000 0.500 0.239
Pb1 Pb 0.000 0.000 0.500

---

[4]
# ZrTc2Pb, optimized geometry, DFT PBE-GGA
# ΔH_f (0 K), eV/atom: 0.37
# Excess energy over the best structure of this formula in the dataset, eV per atom: 0.2820
# Crystal system: trigonal
# M_tot, μB per atom: 0.0000
data_ZrTc2Pb
_chemical_formula_sum 'Zr3 Tc6 Pb3'
_cell_length_a 3.0553
_cell_length_b 3.0553
_cell_length_c 28.6949
_cell_angle_alpha 90.00
_cell_angle_beta 90.00
_cell_angle_gamma 120.00
_space_group_name_H-M_alt 'R 3 m'
_space_group_IT_number 160
_space_group_name_Hall 'R 3 -2"'
loop_
_atom_site_label
_atom_site_type_symbol
_atom_site_fract_x
_atom_site_fract_y
_atom_site_fract_z
Zr1 Zr 0.0000 0.0000 0.0000
Tc1 Tc 0.0000 0.0000 0.2471
Tc2 Tc 0.0000 0.0000 0.5161
Pb1 Pb 0.0000 0.0000 0.7637

---

[5]
# Zr2TcPb, optimized geometry, DFT PBE-GGA
# ΔH_f (0 K), eV/atom: 0.19
# Excess energy over the best structure of this formula in the dataset, eV per atom: 0.4366
# Crystal system: trigonal
# M_tot, μB per atom: 0.0000
data_Zr2TcPb
_chemical_formula_sum 'Zr6 Tc3 Pb3'
_cell_length_a 3.2799
_cell_length_b 3.2799
_cell_length_c 28.0180
_cell_angle_alpha 90.00
_cell_angle_beta 90.00
_cell_angle_gamma 120.00
_space_group_name_H-M_alt 'R 3 m'
_space_group_IT_number 160
_space_group_name_Hall 'R 3 -2"'
loop_
_atom_site_label
_atom_site_type_symbol
_atom_site_fract_x
_atom_site_fract_y
_atom_site_fract_z
Zr1 Zr 0.0000 0.0000 0.0000
Zr2 Zr 0.0000 0.0000 0.2433
Tc1 Tc 0.0000 0.0000 0.5060
Pb1 Pb 0.0000 0.0000 0.7607

---

[6]
# Zr2TcPb, optimized geometry, DFT PBE-GGA
# ΔH_f (0 K), eV/atom: -0.07
# Excess energy over the best structure of this formula in the dataset, eV per atom: 0.1785
# Crystal system: tetragonal
# M_tot, μB per atom: 0.0000
data_Zr2TcPb
_chemical_formula_sum 'Zr2 Tc1 Pb1'
_cell_length_a 4.694
_cell_length_b 4.694
_cell_length_c 3.732
_cell_angle_alpha 90.00
_cell_angle_beta 90.00
_cell_angle_gamma 90.00
_space_group_name_H-M_alt 'P 4/m m m'
_space_group_IT_number 123
_space_group_name_Hall '-P 4 2'
loop_
_atom_site_label
_atom_site_type_symbol
_atom_site_fract_x
_atom_site_fract_y
_atom_site_fract_z
Zr1 Zr 0.000 0.500 0.000
Tc1 Tc 0.000 0.000 0.500
Pb1 Pb 0.500 0.500 0.500

---

[7]
# Zr3Tc2Pb, optimized geometry, DFT PBE-GGA
# ΔH_f (0 K), eV/atom: -0.29
# Crystal system: tetragonal
# M_tot, μB per atom: 0.0000
data_Zr3Tc2Pb
_chemical_formula_sum 'Zr3 Tc2 Pb1'
_cell_length_a 3.376
_cell_length_b 3.376
_cell_length_c 10.518
_cell_angle_alpha 90.00
_cell_angle_beta 90.00
_cell_angle_gamma 90.00
_space_group_name_H-M_alt 'P 4/m m m'
_space_group_IT_number 123
_space_group_name_Hall '-P 4 2'
loop_
_atom_site_label
_atom_site_type_symbol
_atom_site_fract_x
_atom_site_fract_y
_atom_site_fract_z
Zr1 Zr 0.000 0.000 0.000
Zr2 Zr 0.000 0.000 0.300
Tc1 Tc 0.500 0.500 0.157
Pb1 Pb 0.500 0.500 0.500

---

[8]
# ZrTc2Pb, optimized geometry, DFT PBE-GGA
# ΔH_f (0 K), eV/atom: 0.13
# Excess energy over the best structure of this formula in the dataset, eV per atom: 0.0375
# Crystal system: orthorhombic
# M_tot, μB per atom: 0.0000
data_ZrTc2Pb
_chemical_formula_sum 'Zr2 Tc4 Pb2'
_cell_length_a 3.352
_cell_length_b 4.514
_cell_length_c 9.656
_cell_angle_alpha 90.00
_cell_angle_beta 90.00
_cell_angle_gamma 90.00
_space_group_name_H-M_alt 'I m m 2'
_space_group_IT_number 44
loop_
_space_group_symop_operation_xyz
'x,y,z'
'-x,-y,z'
'-x,y,z'
'x,-y,z'
'x+1/2,y+1/2,z+1/2'
'-x+1/2,-y+1/2,z+1/2'
'-x+1/2,y+1/2,z+1/2'
'x+1/2,-y+1/2,z+1/2'
loop_
_atom_site_label
_atom_site_type_symbol
_atom_site_fract_x
_atom_site_fract_y
_atom_site_fract_z
Zr1 Zr 0.000 0.000 0.000
Tc1 Tc 0.000 0.000 0.517
Tc2 Tc 0.000 0.500 0.245
Pb1 Pb 0.000 0.500 0.770

---

[9]
# ZrTcPb4, optimized geometry, DFT PBE-GGA
# ΔH_f (0 K), eV/atom: 0.95
# Crystal system: cubic
# M_tot, μB per atom: 0.3758
data_ZrTcPb4
_chemical_formula_sum 'Zr4 Tc4 Pb16'
_cell_length_a 8.799
_cell_length_b 8.799
_cell_length_c 8.799
_cell_angle_alpha 90.00
_cell_angle_beta 90.00
_cell_angle_gamma 90.00
_space_group_name_H-M_alt 'F -4 3 m'
_space_group_IT_number 216
_space_group_name_Hall 'F -4 2 3'
loop_
_atom_site_label
_atom_site_type_symbol
_atom_site_fract_x
_atom_site_fract_y
_atom_site_fract_z
Zr1 Zr 0.000 0.000 0.000
Tc1 Tc 0.250 0.250 0.250
Pb1 Pb 0.125 0.125 0.625

---

[10]
# ZrTc2Pb, optimized geometry, DFT PBE-GGA
# ΔH_f (0 K), eV/atom: 0.19
# Excess energy over the best structure of this formula in the dataset, eV per atom: 0.1032
# Crystal system: orthorhombic
# M_tot, μB per atom: 0.0000
data_ZrTc2Pb
_chemical_formula_sum 'Zr1 Tc2 Pb1'
_cell_length_a 3.116
_cell_length_b 4.119
_cell_length_c 5.813
_cell_angle_alpha 90.00
_cell_angle_beta 90.00
_cell_angle_gamma 90.00
_space_group_name_H-M_alt 'P m m 2'
_space_group_IT_number 25
loop_
_space_group_symop_operation_xyz
'x,y,z'
'-x,-y,z'
'-x,y,z'
'x,-y,z'
loop_
_atom_site_label
_atom_site_type_symbol
_atom_site_fract_x
_atom_site_fract_y
_atom_site_fract_z
Zr1 Zr 0.000 0.000 0.000
Tc1 Tc 0.000 0.000 0.564
Tc2 Tc 0.500 0.500 0.769
Pb1 Pb 0.500 0.500 0.295

---

[11]
# ZrTc2Pb, optimized geometry, DFT PBE-GGA
# ΔH_f (0 K), eV/atom: 0.12
# Excess energy over the best structure of this formula in the dataset, eV per atom: 0.0276
# Crystal system: tetragonal
# M_tot, μB per atom: 0.2303
data_ZrTc2Pb
_chemical_formula_sum 'Zr1 Tc2 Pb1'
_cell_length_a 4.585
_cell_length_b 4.585
_cell_length_c 3.453
_cell_angle_alpha 90.00
_cell_angle_beta 90.00
_cell_angle_gamma 90.00
_space_group_name_H-M_alt 'P 4/m m m'
_space_group_IT_number 123
_space_group_name_Hall '-P 4 2'
loop_
_atom_site_label
_atom_site_type_symbol
_atom_site_fract_x
_atom_site_fract_y
_atom_site_fract_z
Zr1 Zr 0.000 0.000 0.000
Tc1 Tc 0.000 0.500 0.500
Pb1 Pb 0.500 0.500 0.000

---

[12]
# ZrTc3Pb, optimized geometry, DFT PBE-GGA
# ΔH_f (0 K), eV/atom: 2.05
# Excess energy over the best structure of this formula in the dataset, eV per atom: 0.3447
# Crystal system: cubic
# M_tot, μB per atom: 0.4238
data_ZrTc3Pb
_chemical_formula_sum 'Zr1 Tc3 Pb1'
_cell_length_a 4.899
_cell_length_b 4.899
_cell_length_c 4.899
_cell_angle_alpha 90.00
_cell_angle_beta 90.00
_cell_angle_gamma 90.00
_space_group_name_H-M_alt 'P m -3 m'
_space_group_IT_number 221
_space_group_name_Hall '-P 4 2 3'
loop_
_atom_site_label
_atom_site_type_symbol
_atom_site_fract_x
_atom_site_fract_y
_atom_site_fract_z
Zr1 Zr 0.000 0.000 0.000
Tc1 Tc 0.000 0.500 0.500
Pb1 Pb 0.500 0.500 0.500